Entry 1:
GGA-PBE SrY2TcN4, optimized geometry; electronic total energy = -8.267 eV/atom; uncorrected formation energy = -0.982 eV/atom; total moment = 0.00 μB per formula unit; symmetry = No. 63
1.0
3.4469 0.0000 0.0000
-1.7234 6.0525 0.0000
0.0000 0.0000 12.0882
Sr Y Tc N
2 4 2 8
Direct
0.0705 0.1410 0.7500 Sr
0.9295 0.8590 0.2500 Sr
0.3716 0.7431 0.5416 Y
0.6284 0.2569 0.0416 Y
0.6284 0.2569 0.4584 Y
0.3716 0.7431 0.9584 Y
0.8119 0.6237 0.7500 Tc
0.1881 0.3763 0.2500 Tc
0.2597 0.5193 0.1131 N
0.7403 0.4807 0.6131 N
0.7403 0.4807 0.8869 N
0.2597 0.5193 0.3869 N
0.0000 0.0000 0.5000 N
0.0000 0.0000 0.0000 N
0.4061 0.8121 0.7500 N
0.5939 0.1879 0.2500 N

=====

Entry 2:
GGA-PBE SrZn2TcN, optimized geometry; electronic total energy = -2.786 eV/atom; uncorrected formation energy = 1.798 eV/atom; total moment = 4.38 μB per formula unit; symmetry = No. 123
1.0
-5.6626 0.3975 0.1336
-0.3098 -4.2421 -0.5098
0.0850 -0.6835 5.6362
Sr Zn Tc N
1 2 1 1
Direct
0.0000 0.0000 0.0000 Sr
0.0000 0.0000 0.5000 Zn
0.5000 0.0000 0.0000 Zn
0.5000 0.5000 0.5000 Tc
0.0000 0.5000 0.0000 N

=====

Entry 3:
GGA-PBE Sr2ZnTcN4, optimized geometry; electronic total energy = -6.496 eV/atom; uncorrected formation energy = -0.458 eV/atom; total moment = 0.00 μB per formula unit; symmetry = No. 59
1.0
-4.6065 -3.0026 1.8798
2.0347 0.4996 5.7840
-3.6853 6.1337 0.7665
Sr Zn Tc N
4 2 2 8
Direct
0.5001 0.2375 0.2493 Sr
0.5001 0.2375 0.7507 Sr
0.0001 0.7625 0.7493 Sr
0.0001 0.7625 0.2507 Sr
0.0000 0.2240 0.5000 Zn
0.5000 0.7760 0.0000 Zn
0.5000 0.7967 0.5000 Tc
0.0000 0.2033 0.0000 Tc
0.2533 0.0198 0.0000 N
0.7533 0.9802 0.5000 N
0.2468 0.9804 0.5000 N
0.7468 0.0196 0.0000 N
0.4999 0.6480 0.7235 N
0.9999 0.3520 0.2235 N
0.9999 0.3520 0.7765 N
0.4999 0.6480 0.2765 N

=====

Entry 4:
GGA-PBE SrZrTcN3, optimized geometry; electronic total energy = -8.360 eV/atom; uncorrected formation energy = -0.765 eV/atom; total moment = 0.00 μB per formula unit; symmetry = No. 11
1.0
3.2470 0.0000 0.0000
0.0000 7.3770 0.6676
0.0000 -2.1641 7.8497
Sr Zr Tc N
2 2 2 6
Direct
0.7500 0.8269 0.8054 Sr
0.2500 0.1731 0.1946 Sr
0.2500 0.6376 0.1333 Zr
0.7500 0.3624 0.8667 Zr
0.2500 0.1046 0.5911 Tc
0.7500 0.8954 0.4089 Tc
0.2500 0.8258 0.5449 N
0.7500 0.8533 0.1574 N
0.7500 0.4309 0.1265 N
0.7500 0.1742 0.4551 N
0.2500 0.5691 0.8735 N
0.2500 0.1467 0.8426 N

=====

Copy entry 2 word for word.
GGA-PBE SrZn2TcN, optimized geometry; electronic total energy = -2.786 eV/atom; uncorrected formation energy = 1.798 eV/atom; total moment = 4.38 μB per formula unit; symmetry = No. 123
1.0
-5.6626 0.3975 0.1336
-0.3098 -4.2421 -0.5098
0.0850 -0.6835 5.6362
Sr Zn Tc N
1 2 1 1
Direct
0.0000 0.0000 0.0000 Sr
0.0000 0.0000 0.5000 Zn
0.5000 0.0000 0.0000 Zn
0.5000 0.5000 0.5000 Tc
0.0000 0.5000 0.0000 N